# 1
## SrThTcN3 (PBE)

Data for SrThTcN3 after structural relaxation.

The structure in POSCAR format:
```
SrThTcN3
1.0
6.7458 0.0000 0.0000
0.0000 3.6255 0.0000
-1.6047 0.0000 9.0183
Sr Th Tc N
2 2 2 6
Cartesian
1.2243 0.9064 2.1800
3.9168 2.7191 6.8383
0.2713 0.9064 5.6951
4.8698 2.7191 3.3232
1.1369 2.7191 8.4014
4.0042 0.9064 0.6169
-0.3416 2.7191 7.2041
0.3979 2.7191 4.0606
3.0985 2.7191 1.3883
2.0426 0.9064 7.6300
4.7432 0.9064 4.9577
5.4827 0.9064 1.8143
```

- DOS at the Fermi energy: 1.24 states/eV per cell
- E_form (uncorrected): -0.8377 eV/atom


# 2
## Rb8TiO6 (PBE)

Data for Rb8TiO6 after structural relaxation.

The structure in POSCAR format:
```
Rb8TiO6
1.0
7.8106 0.0000 0.0000
0.0000 7.7476 0.0000
0.0000 0.0000 14.1571
Rb Ti O
16 2 12
Cartesian
0.0000 0.2912 0.0000
0.0000 6.0312 6.5398
1.6348 4.2559 1.5263
1.9004 4.2269 12.1757
1.9238 7.2756 3.6459
1.9815 0.4721 10.7244
2.0049 3.5207 5.0972
2.2705 3.4917 8.6049
3.9053 1.7164 13.6184
3.9053 7.4564 7.0785
5.5401 3.4917 8.6049
5.8057 3.5207 5.0972
5.8291 0.4721 10.7244
5.8869 7.2756 3.6459
5.9103 4.2269 12.1757
6.1758 4.2559 1.5263
0.0000 1.4094 7.0112
3.9053 6.3382 14.0897
0.0000 0.7515 8.7374
0.0000 3.0014 13.8210
0.0000 3.2656 7.0392
0.0000 5.3256 3.6435
1.5171 0.8659 6.0983
2.3882 6.8817 13.1769
3.9053 2.4220 10.7220
3.9053 4.4820 14.1178
3.9053 4.7462 6.7425
3.9053 6.9962 1.6589
5.4224 6.8817 13.1769
6.2935 0.8659 6.0983
```

- E_form (uncorrected): -1.5165 eV/atom


# 3
## Sc2TaTlAg (PBE)

Data for Sc2TaTlAg after structural relaxation.

The structure in POSCAR format:
```
Sc2TaTlAg
1.0
5.0703 0.0000 0.0000
0.0000 5.0703 0.0000
0.0000 0.0000 5.4727
Sc Ta Tl Ag
2 1 1 1
Cartesian
0.0000 2.5352 0.0000
2.5352 0.0000 0.0000
0.0000 0.0000 0.0000
0.0000 0.0000 2.7363
2.5352 2.5352 2.7363
```

- Energy relative to the elements: 0.81 eV/atom
- DOS at the Fermi energy: 3.75 states/eV per cell


# 4
## AlInRe (PBE)

Data for AlInRe after structural relaxation.

The structure in POSCAR format:
```
AlInRe
1.0
2.8526 0.0000 0.0000
0.0000 3.9553 0.0000
0.0000 0.0000 9.1421
Al In Re
2 2 2
Cartesian
0.0000 0.0000 0.0000
1.4263 1.9777 4.5711
0.0000 0.0000 6.3317
1.4263 1.9777 1.7606
0.0000 0.0000 3.4314
1.4263 1.9777 8.0024
```

- Energy relative to the elements: 0.26 eV/atom
- DOS at the Fermi energy: 3.55 states/eV per cell


# 5
## La2AsP (PBE)

Data for La2AsP after structural relaxation.

The structure in POSCAR format:
```
La2AsP
1.0
4.7606 0.0000 0.0000
0.0000 5.6737 0.0000
0.0000 0.0000 7.6266
La As P
4 2 2
Cartesian
0.0000 0.0000 1.8480
0.0000 0.0000 5.7786
2.3803 2.8369 1.8480
2.3803 2.8369 5.7786
0.0000 2.8369 3.8133
2.3803 0.0000 3.8133
0.0000 2.8369 0.0000
2.3803 0.0000 0.0000
```

- Energy relative to the elements: -1.23 eV/atom
- DOS at the Fermi energy: 1.63 states/eV per cell


# 6
## TlGeBr2 (PBE)

Data for TlGeBr2 after structural relaxation.

The structure in POSCAR format:
```
TlGeBr2
1.0
6.1462 0.0000 0.0000
0.0000 6.1462 0.0000
0.0000 0.0000 17.0607
Tl Ge Br
4 4 8
Cartesian
0.0000 0.0000 0.0000
0.0000 3.0731 4.2652
3.0731 0.0000 12.7955
3.0731 3.0731 8.5303
0.0000 0.0000 8.5303
0.0000 3.0731 12.7955
3.0731 0.0000 4.2652
3.0731 3.0731 0.0000
1.1302 1.5366 10.6629
1.5366 4.2033 14.9281
1.5366 5.0160 6.3977
1.9429 1.5366 2.1326
4.2033 4.6097 2.1326
4.6097 1.1302 6.3977
4.6097 1.9429 14.9281
5.0160 4.6097 10.6629
```

- DOS at the Fermi energy: 6.33 states/eV per cell
- E_form (uncorrected): -0.2008 eV/atom